1.
Ca5Ga2As: relaxed, GGA-PBE.

The formation energy comes out at -4.58 eV/f.u. The density of states at the Fermi level is 33.5 states/eV per cell. Its raw total energy is -101.18 eV per cell.

It has space group I4/mcm (No. 140), with a = 7.872 Å, b = 7.872 Å, c = 14.448 Å, α = 90.00°, β = 90.00° and γ = 90.00°. The inequivalent atoms are Ca at (0.000, 0.000, 0.000), Ca at (0.173, 0.327, 0.145), Ga at (0.116, 0.384, 0.500) and As at (0.000, 0.000, 0.250).

=====

2.
CsRbSr2Ag: relaxed, GGA-PBE.

The formation energy comes out at 0.18 eV/f.u. The density of states at the Fermi level is 4.9 states/eV per cell. Its raw total energy is -7.86 eV per cell. As for the energy above the most stable polymorph in this dataset: 0 meV/atom.

It has space group P4/mmm (No. 123), with a = 6.466 Å, b = 6.466 Å, c = 7.296 Å, α = 90.00°, β = 90.00° and γ = 90.00°. The inequivalent atoms are Cs at (0.000, 0.000, 0.000), Rb at (0.500, 0.500, 0.000), Sr at (0.000, 0.500, 0.500) and Ag at (0.000, 0.000, 0.500).

=====

3.
Ba2InGa3Ge4: relaxed, GGA-PBE.

The formation energy comes out at -3.37 eV/f.u. The density of states at the Fermi level is 3.4 states/eV per cell. Its raw total energy is -37.51 eV per cell.

It has space group P-4m2 (No. 115), with a = 4.923 Å, b = 4.923 Å, c = 10.225 Å, α = 90.00°, β = 90.00° and γ = 90.00°. The inequivalent atoms are Ba at (0.000, 0.500, 0.242), In at (0.000, 0.000, 0.500), Ga at (0.000, 0.500, 0.888), Ga at (0.500, 0.500, 0.500), Ge at (0.000, 0.000, 0.000), Ge at (0.000, 0.500, 0.632) and Ge at (0.500, 0.500, 0.000).

=====

4.
Zr3AgGe: relaxed, GGA-PBE.

The formation energy comes out at 1.70 eV/f.u. The density of states at the Fermi level is 4.0 states/eV per cell. Its raw total energy is -31.42 eV per cell. As for the energy above the most stable polymorph in this dataset: 0 meV/atom.

It has space group Pm-3m (No. 221), with a = 5.017 Å, b = 5.017 Å, c = 5.017 Å, α = 90.00°, β = 90.00° and γ = 90.00°. The inequivalent atoms are Zr at (0.000, 0.000, 0.500), Ag at (0.500, 0.500, 0.500) and Ge at (0.000, 0.000, 0.000).

=====

5.
Ti2TlRu: relaxed, GGA-PBE.

The formation energy comes out at 0.69 eV/f.u. The density of states at the Fermi level is 20.1 states/eV per cell. Its raw total energy is -106.96 eV per cell. As for the energy above the most stable polymorph in this dataset: 414 meV/atom.

It has space group I-42d (No. 122), with a = 7.368 Å, b = 7.368 Å, c = 5.569 Å, α = 90.00°, β = 90.00° and γ = 90.00°. The inequivalent atoms are Ti at (0.197, 0.750, 0.125), Tl at (0.000, 0.000, 0.500) and Ru at (0.000, 0.000, 0.000).

=====

6.
Rb2CuIrF6: relaxed, GGA-PBE.

For the energy relative to the elements, uncorrected, the calculation gives -18.90 eV per formula unit. Its raw total energy is -90.04 eV per cell.

It has space group I4/mmm (No. 139), with a = 6.005 Å, b = 6.005 Å, c = 8.528 Å, α = 90.00°, β = 90.00° and γ = 90.00°. The inequivalent atoms are Rb at (0.000, 0.500, 0.250), Cu at (0.000, 0.000, 0.000), Ir at (0.000, 0.000, 0.500), F at (0.000, 0.000, 0.256) and F at (0.245, 0.245, 0.500).

=====

7.
DyTm2AlN: relaxed, GGA-PBE.

For the energy relative to the elements, uncorrected, the calculation gives -4.71 eV per formula unit. The density of states at the Fermi level is 2.1 states/eV per cell. Its raw total energy is -30.33 eV per cell.

It has space group P4/mmm (No. 123), with a = 4.690 Å, b = 4.690 Å, c = 4.770 Å, α = 90.00°, β = 90.00° and γ = 90.00°. The inequivalent atoms are Dy at (0.000, 0.000, 0.000), Tm at (0.000, 0.500, 0.500), Al at (0.500, 0.500, 0.000) and N at (0.000, 0.000, 0.500).

=====

8.
ZnSiAu2: relaxed, GGA-PBE.

For the energy relative to the elements, uncorrected, the calculation gives 0.14 eV per formula unit. The density of states at the Fermi level is 3.3 states/eV per cell. Its raw total energy is -39.34 eV per cell.

It has space group R-3m (No. 166, hexagonal axes), with a = 3.0787 Å, b = 3.0787 Å, c = 24.6390 Å, α = 90.00°, β = 90.00° and γ = 120.00°. The inequivalent atoms are Zn at (0.0000, 0.0000, 0.0000), Si at (0.0000, 0.0000, 0.5000) and Au at (0.0000, 0.0000, 0.2470).

=====

9.
Cs2LiIrCl6: relaxed, GGA-PBE.

For the energy relative to the elements, uncorrected, the calculation gives -13.39 eV per formula unit. The density of states at the Fermi level is 0.0 states/eV per cell. Its raw total energy is -73.91 eV per cell. As for the energy above the most stable polymorph in this dataset: 9 meV/atom.

It has space group I4/mmm (No. 139), with a = 7.235 Å, b = 7.235 Å, c = 10.253 Å, α = 90.00°, β = 90.00° and γ = 90.00°. The inequivalent atoms are Cs at (0.000, 0.500, 0.250), Li at (0.000, 0.000, 0.000), Ir at (0.000, 0.000, 0.500), Cl at (0.000, 0.000, 0.267) and Cl at (0.234, 0.234, 0.500).

=====

10.
CaReOs2Se: relaxed, GGA-PBE.

For the energy relative to the elements, uncorrected, the calculation gives 15.61 eV per formula unit. The density of states at the Fermi level is 7.7 states/eV per cell. Its raw total energy is -24.79 eV per cell.

It has space group P4/mmm (No. 123), with a = 4.595 Å, b = 4.595 Å, c = 4.794 Å, α = 90.00°, β = 90.00° and γ = 90.00°. The inequivalent atoms are Ca at (0.000, 0.000, 0.000), Re at (0.500, 0.500, 0.500), Os at (0.000, 0.500, 0.000) and Se at (0.000, 0.000, 0.500).

=====

11.
CeNdSn2: relaxed, GGA-PBE.

The formation energy comes out at -2.72 eV/f.u. The density of states at the Fermi level is 17.0 states/eV per cell. Its raw total energy is -42.85 eV per cell.

It has space group Amm2 (No. 38), with a = 4.405 Å, b = 4.674 Å, c = 11.753 Å, α = 90.00°, β = 90.00° and γ = 90.00°. The inequivalent atoms are Ce at (0.000, 0.000, 0.000), Nd at (0.500, 0.000, 0.730), Sn at (0.000, 0.000, 0.275) and Sn at (0.500, 0.000, 0.455).

=====

12.
BaLiHg2: relaxed, GGA-PBE.

The formation energy comes out at -1.32 eV/f.u. The density of states at the Fermi level is 2.0 states/eV per cell. Its raw total energy is -5.76 eV per cell.

It has space group Pm (No. 6), with a = 3.934 Å, b = 4.706 Å, c = 6.624 Å, α = 90.00°, β = 91.47° and γ = 90.00°. The inequivalent atoms are Ba at (0.000, 0.000, 0.000), Li at (0.023, 0.500, 0.558), Hg at (0.495, 0.000, 0.548) and Hg at (0.511, 0.500, 0.250).

=====

13.
InFeSb2: relaxed, GGA-PBE.

For the energy relative to the elements, uncorrected, the calculation gives 1.33 eV per formula unit. The density of states at the Fermi level is 26.3 states/eV per cell. Its raw total energy is -72.45 eV per cell.

It has space group I-42d (No. 122), with a = 6.204 Å, b = 6.204 Å, c = 12.228 Å, α = 90.00°, β = 90.00° and γ = 90.00°. The inequivalent atoms are In at (0.000, 0.000, 0.000), Fe at (0.000, 0.000, 0.500) and Sb at (0.177, 0.250, 0.625).

=====

14.
Tc2SnP2: relaxed, GGA-PBE.

The formation energy comes out at -0.29 eV/f.u. The density of states at the Fermi level is 4.8 states/eV per cell. Its raw total energy is -71.69 eV per cell. As for the energy above the most stable polymorph in this dataset: 160 meV/atom.

It has space group P4/mbm (No. 127), with a = 7.251 Å, b = 7.251 Å, c = 2.977 Å, α = 90.00°, β = 90.00° and γ = 90.00°. The inequivalent atoms are Tc at (0.142, 0.358, 0.000), Sn at (0.000, 0.000, 0.000) and P at (0.133, 0.633, 0.500).

=====

15.
In3H4Br4: relaxed, GGA-PBE.

The density of states at the Fermi level is 4.8 states/eV per cell. Its raw total energy is -56.68 eV per cell.

It has space group Immm (No. 71), with a = 3.523 Å, b = 7.381 Å, c = 19.790 Å, α = 90.00°, β = 90.00° and γ = 90.00°. The inequivalent atoms are In at (0.000, 0.000, 0.000), In at (0.000, 0.500, 0.237), H at (0.000, 0.159, 0.279), Br at (0.000, 0.000, 0.137) and Br at (0.000, 0.229, 0.500).

=====

16.
SbSe4: relaxed, GGA-PBE.

For the energy relative to the elements, uncorrected, the calculation gives 1.06 eV per formula unit. The density of states at the Fermi level is 5.3 states/eV per cell. Its raw total energy is -34.01 eV per cell. As for the energy above the most stable polymorph in this dataset: 0 meV/atom.

It has space group I4/m (No. 87), with a = 9.016 Å, b = 9.016 Å, c = 3.539 Å, α = 90.00°, β = 90.00° and γ = 90.00°. The inequivalent atoms are Sb at (0.000, 0.000, 0.000) and Se at (0.146, 0.223, 0.500).

=====

17.
YHgF3: relaxed, GGA-PBE.

For the energy relative to the elements, uncorrected, the calculation gives -15.65 eV per formula unit. The density of states at the Fermi level is 0.0 states/eV per cell. Its raw total energy is -28.03 eV per cell. As for the energy above the most stable polymorph in this dataset: 0 meV/atom.

It has space group Pm-3m (No. 221), with a = 4.504 Å, b = 4.504 Å, c = 4.504 Å, α = 90.00°, β = 90.00° and γ = 90.00°. The inequivalent atoms are Y at (0.000, 0.000, 0.000), Hg at (0.500, 0.500, 0.500) and F at (0.000, 0.000, 0.500).

=====

18.
Hg4Pb2Se5: relaxed, GGA-PBE.

For the energy relative to the elements, uncorrected, the calculation gives -2.43 eV per formula unit. The density of states at the Fermi level is 1.6 states/eV per cell. Its raw total energy is -85.42 eV per cell.

It has space group R-3m (No. 166, hexagonal axes), with a = 4.3447 Å, b = 4.3447 Å, c = 59.8729 Å, α = 90.00°, β = 90.00° and γ = 120.00°. The inequivalent atoms are Hg at (0.0000, 0.0000, 0.0850), Hg at (0.0000, 0.0000, 0.1841), Pb at (0.0000, 0.0000, 0.3635), Se at (0.0000, 0.0000, 0.0000), Se at (0.0000, 0.0000, 0.1286) and Se at (0.0000, 0.0000, 0.2729).

=====

19.
Ac2TcAs: relaxed, GGA-PBE.

The formation energy comes out at -0.70 eV/f.u. The density of states at the Fermi level is 4.9 states/eV per cell. Its raw total energy is -23.94 eV per cell. As for the energy above the most stable polymorph in this dataset: 0 meV/atom.

It has space group P4/mmm (No. 123), with a = 5.232 Å, b = 5.232 Å, c = 3.962 Å, α = 90.00°, β = 90.00° and γ = 90.00°. The inequivalent atoms are Ac at (0.000, 0.500, 0.000), Tc at (0.000, 0.000, 0.500) and As at (0.500, 0.500, 0.500).

=====

20.
TaTc2Ru: relaxed, GGA-PBE.

The formation energy comes out at -0.22 eV/f.u. The density of states at the Fermi level is 4.3 states/eV per cell. Its raw total energy is -42.08 eV per cell. As for the energy above the most stable polymorph in this dataset: 0 meV/atom.

It has space group P4/mmm (No. 123), with a = 3.912 Å, b = 3.912 Å, c = 3.993 Å, α = 90.00°, β = 90.00° and γ = 90.00°. The inequivalent atoms are Ta at (0.000, 0.000, 0.000), Tc at (0.000, 0.500, 0.500) and Ru at (0.500, 0.500, 0.000).